No. 1
Density functional theory data (GGA-PBE) for an optimized crystal structure of NdTcHN2.

DOS at the Fermi energy (states/eV/f.u.): 1.2
Energy (eV per cell): -38.31
Symmetry: P4/mmm, No. 123
Mass density (Mg/m³): 7.8
Spin magnetization (μB/cell): 0.000

Cell lengths 3.9921, 3.9921, 3.6232 Å; angles 90.00, 90.00, 90.00 degrees
Last column: nearest neighbours and their distance in Å.
Sites, in units of the cell vectors:
Nd 0.0000 0.0000 0.0000  8 N 2.70, 4 H 2.82
Tc 0.5000 0.5000 0.5000  2 H 1.81, 4 N 2.00
H 0.5000 0.5000 0.0000  2 Tc 1.81
N 0.0000 0.5000 0.5000  2 Tc 2.00
N 0.5000 0.0000 0.5000  2 Tc 2.00

No. 2
Density functional theory data (GGA-PBE) for an optimized crystal structure of KScW.

DOS at the Fermi energy (states/eV/f.u.): 3.4
Energy (eV per cell): -12.60
Energy above the lowest structure with this stoichiometry (eV/f.u.): 5.17
Symmetry: F-43m, No. 216
Mass density (Mg/m³): 5.3
DFT formation energy (eV/atom): 2.594
Spin magnetization (μB/cell): 2.742

Cell lengths 4.9048, 4.9048, 4.9048 Å; angles 60.00, 60.00, 60.00 degrees
Last column: nearest neighbours and their distance in Å.
Sites, in units of the cell vectors:
K 0.0000 0.0000 0.0000  4 W 3.00, 4 Sc 3.00
Sc 0.2500 0.2500 0.2500  4 K 3.00
W 0.7500 0.7500 0.7500  4 K 3.00

Please write out number 1 again, unchanged.
Density functional theory data (GGA-PBE) for an optimized crystal structure of NdTcHN2.

DOS at the Fermi energy (states/eV/f.u.): 1.2
Energy (eV per cell): -38.31
Symmetry: P4/mmm, No. 123
Mass density (Mg/m³): 7.8
Spin magnetization (μB/cell): 0.000

Cell lengths 3.9921, 3.9921, 3.6232 Å; angles 90.00, 90.00, 90.00 degrees
Last column: nearest neighbours and their distance in Å.
Sites, in units of the cell vectors:
Nd 0.0000 0.0000 0.0000  8 N 2.70, 4 H 2.82
Tc 0.5000 0.5000 0.5000  2 H 1.81, 4 N 2.00
H 0.5000 0.5000 0.0000  2 Tc 1.81
N 0.0000 0.5000 0.5000  2 Tc 2.00
N 0.5000 0.0000 0.5000  2 Tc 2.00